[1]
BaZnSe2N | PBE | relaxed

Results
Energy relative to the lowest polymorph listed for this composition ... 103.8 kJ per mole of atoms
Total energy ... -13.95 eV/cell
ρ ... 2.8 g/cm3

```
BaZnSe2N
1.0
6.412 0.000 0.000
0.000 6.412 0.000
0.000 0.000 5.377
Ba Zn Se N
1 1 2 1
Direct
0.000 0.000 0.000 Ba
0.500 0.500 0.500 Zn
0.000 0.500 0.000 Se
0.500 0.000 0.000 Se
0.000 0.000 0.500 N
```



[2]
BaZn2SeN | PBE | relaxed

Results
Total energy ... -13.14 eV/cell
ρ ... 4.0 g/cm3

```
BaZn2SeN
1.0
4.796 0.000 0.000
0.000 4.796 0.000
0.000 0.000 6.499
Ba Zn Se N
1 2 1 1
Direct
0.000 0.000 0.000 Ba
0.000 0.500 0.500 Zn
0.500 0.000 0.500 Zn
0.000 0.000 0.500 Se
0.500 0.500 0.000 N
```



[3]
BaZnSe2N | PBE | relaxed

Results
Energy relative to the lowest polymorph listed for this composition ... 0.0 kJ per mole of atoms
Total energy ... -19.32 eV/cell
ρ ... 5.3 g/cm3

```
BaZnSe2N
1.0
5.344 0.000 0.000
0.000 5.344 0.000
0.000 0.000 4.099
Ba Zn Se N
1 1 2 1
Direct
0.000 0.000 0.000 Ba
0.500 0.500 0.500 Zn
0.000 0.500 0.500 Se
0.500 0.000 0.500 Se
0.500 0.500 0.000 N
```



[4]
BaZrSeN2 | PBE | relaxed

Results
Energy relative to the lowest polymorph listed for this composition ... 0.0 kJ per mole of atoms
Total energy ... -33.66 eV/cell
ρ ... 5.3 g/cm3

```
BaZrSeN2
1.0
4.408 0.000 0.000
0.000 4.408 0.000
0.000 0.000 5.439
Ba Zr Se N
1 1 1 2
Direct
0.000 0.000 0.000 Ba
0.500 0.500 0.500 Zr
0.500 0.500 0.000 Se
0.000 0.500 0.500 N
0.500 0.000 0.500 N
```



[5]
BaZrSeN2 | PBE | relaxed

Results
Energy relative to the lowest polymorph listed for this composition ... 190.4 kJ per mole of atoms
Total energy ... -23.79 eV/cell
ρ ... 4.8 g/cm3

```
BaZrSeN2
1.0
4.405 0.000 0.000
0.000 4.405 0.000
0.000 0.000 5.984
Ba Zr Se N
1 1 1 2
Direct
0.000 0.000 0.000 Ba
0.500 0.500 0.500 Zr
0.000 0.000 0.500 Se
0.000 0.500 0.000 N
0.500 0.000 0.000 N
```



[6]
Ba2ZrSeN | PBE | relaxed

Results
Total energy ... -21.66 eV/cell
ρ ... 3.8 g/cm3

```
Ba2ZrSeN
1.0
6.253 0.000 0.000
0.000 6.253 0.000
0.000 0.000 5.069
Ba Zr Se N
2 1 1 1
Direct
0.000 0.500 0.000 Ba
0.500 0.000 0.000 Ba
0.000 0.000 0.500 Zr
0.000 0.000 0.000 Se
0.500 0.500 0.500 N
```